VASP calculation (GGA-PBE) on a relaxed structure of TbPm4Ho5.

```
data_TbPm4Ho5
_symmetry_space_group_name_H-M 'I 4 m m'
_symmetry_Int_Tables_number 107
_symmetry_space_group_name_Hall 'I 4 -2'
_cell_length_a 10.645
_cell_length_b 10.645
_cell_length_c 5.941
_cell_angle_alpha 90.00
_cell_angle_beta 90.00
_cell_angle_gamma 90.00
loop_
_atom_site_label
_atom_site_type_symbol
_atom_site_fract_x
_atom_site_fract_y
_atom_site_fract_z
Tb1 Tb 0.000 0.000 0.000
Pm1 Pm 0.000 0.324 0.758
Ho1 Ho 0.000 0.000 0.525
Ho2 Ho 0.189 0.189 0.263
```

Summary:
- DOS at the Fermi energy (states/eV per cell) = 26.0
- E above lowest polymorph (eV per atom) = 0.055
- total moment (μB per cell) = 0.000
- crystal system = tetragonal
- DFT total energy (eV/atom) = -4.4073
- energy of formation from the pure elements (eV/atom) = 0.245